# 1
A geometry-optimized Sn4SbSe2S structure. Source: Alexandria, functional PBE-GGA.

Calculated values
* symmetry: P2/m (10)
* DOS(E_F): 2.65 states/eV/cell
* uncorrected formation energy: -26.1 kJ per mole of atoms
* V: 219 Å³/f.u.

Lattice parameters (Å, degrees): 4.2534 7.4085 7.3645 70.39 90.00 90.00
Last column: nearest neighbours and their distance in Å.
Element x y z (fractional)
Sn1 0.0000 0.2547 0.2404  2 S 2.97, 3 Se 2.99-3.05, 1 Sb 3.05
Sn2 0.5000 0.7482 0.2447  1 S 2.97, 3 Se 3.00-3.06, 2 Sb 3.02
Sn3 0.0000 0.7453 0.7596  2 S 2.97, 3 Se 2.99-3.05, 1 Sb 3.05
Sn4 0.5000 0.2518 0.7553  1 S 2.97, 3 Se 3.00-3.06, 2 Sb 3.02
Sb1 0.0000 0.5000 0.5000  6 Sn 3.02-3.05
Se1 0.0000 0.0000 0.0000  6 Sn 2.99-3.00
Se2 0.5000 0.0000 0.5000  6 Sn 3.05-3.06
S1 0.5000 0.5000 0.0000  6 Sn 2.97

***

# 2
A geometry-optimized Sn4SbSeS2 structure. Source: Alexandria, functional PBE-GGA.

Calculated values
* symmetry: P2/m (10)
* DOS(E_F): 3.14 states/eV/cell
* uncorrected formation energy: -24.7 kJ per mole of atoms
* V: 212 Å³/f.u.

Lattice parameters (Å, degrees): 4.2203 7.2889 7.3307 70.39 90.00 90.00
Last column: nearest neighbours and their distance in Å.
Element x y z (fractional)
Sb1 0.5000 0.5000 0.0000  6 Sn 3.03-3.05
Se1 0.0000 0.5000 0.5000  6 Sn 3.02-3.03
Sn1 0.5000 0.2374 0.7514  3 S 2.92-2.94, 2 Se 3.02, 1 Sb 3.05
Sn2 0.0000 0.7613 0.7460  3 S 2.94, 2 Sb 3.03, 1 Se 3.03
Sn3 0.5000 0.7626 0.2486  3 S 2.92-2.94, 2 Se 3.02, 1 Sb 3.05
Sn4 0.0000 0.2387 0.2540  3 S 2.94, 2 Sb 3.03, 1 Se 3.03
S1 0.0000 0.0000 0.0000  6 Sn 2.94
S2 0.5000 0.0000 0.5000  6 Sn 2.92-2.94

***

# 3
A geometry-optimized Tb6Sb2Se3S structure. Source: Alexandria, functional PBE-GGA.

Calculated values
* symmetry: C2/m (12)
* DOS(E_F): 3.47 states/eV/cell
* uncorrected formation energy: -153.5 kJ per mole of atoms
* V: 311 Å³/f.u.

Lattice parameters (Å, degrees): 4.1647 8.3779 9.3776 102.81 102.83 90.00
Last column: nearest neighbours and their distance in Å.
Element x y z (fractional)
Tb1 0.3453 0.9309 0.6905  1 S 2.76, 2 Se 2.91, 2 Sb 3.02
Tb2 0.3390 0.4077 0.6780  3 Se 2.87-2.90, 3 Sb 3.02-3.07
Tb3 0.0032 0.7738 0.0064  2 S 2.83, 3 Se 2.98-3.09, 1 Sb 3.04
Tb4 0.6547 0.0691 0.3095  1 S 2.76, 2 Se 2.91, 2 Sb 3.02
Tb5 0.6610 0.5923 0.3220  3 Se 2.87-2.90, 3 Sb 3.02-3.07
Tb6 0.9968 0.2262 0.9936  2 S 2.83, 3 Se 2.98-3.09, 1 Sb 3.04
Sb1 0.8330 0.6655 0.6661  6 Tb 3.02-3.07
Sb2 0.1670 0.3345 0.3339  6 Tb 3.02-3.07
Se1 0.1704 0.8374 0.3407  6 Tb 2.90-3.12
Se2 0.8296 0.1626 0.6593  6 Tb 2.90-3.12
Se3 0.5000 0.5000 0.0000  6 Tb 2.87-3.09
S1 0.5000 0.0000 0.0000  6 Tb 2.76-2.83